Record 1
Computed, not measured: a relaxed structure of SrTbAsO at the PBE level of DFT.

Cell lengths 4.2921, 7.0210, 6.7056 Å; angles 90.00, 90.00, 90.00 degrees
Last column: nearest neighbours and their distance in Å.
Space group Pmc2_1 (No. 26)
Asymmetric unit:
Sr 0.0000 0.1403 0.0000 x2  2 O 2.40
Tb 0.5000 0.4778 0.6999 x2  2 O 2.23-2.26
As 0.0000 0.3037 0.4513 x2  4 Tb 2.98-3.13, 2 Sr 3.13-3.24
O 0.5000 0.2892 0.9667 x2  2 Tb 2.23-2.26, 2 Sr 2.40

Properties
The crystal system is orthorhombic. Its polymorph energy (0 for the lowest one) is 0 meV per atom.

***

Record 2
Computed, not measured: a relaxed structure of LiLuTeOs at the PBE level of DFT.

Cell lengths 6.5588, 6.5588, 6.5588 Å; angles 90.00, 90.00, 90.00 degrees
Last column: nearest neighbours and their distance in Å.
Space group F-43m (No. 216)
Asymmetric unit:
Li 0.0000 0.0000 0.0000 x4  4 Te 2.84, 4 Lu 2.84
Lu 0.2500 0.2500 0.7500 x4  4 Li 2.84, 4 Os 2.84
Te 0.2500 0.2500 0.2500 x4  4 Li 2.84, 4 Os 2.84
Os 0.0000 0.0000 0.5000 x4  4 Te 2.84, 4 Lu 2.84

Properties
The crystal system is cubic. Its polymorph energy (0 for the lowest one) is 0 meV per atom.

***

Record 3
Computed, not measured: a relaxed structure of Y5Tm2Te2Pd2 at the PBE level of DFT.

Cell lengths 3.9479, 15.6926, 9.6078 Å; angles 90.00, 90.00, 90.00 degrees
Last column: nearest neighbours and their distance in Å.
Space group Imm2 (No. 44)
Asymmetric unit:
Y 0.0000 0.0000 0.0000 x2  3 Te 3.19-3.24
Y 0.0000 0.1273 0.4145 x4  2 Pd 2.91, 3 Te 3.11-3.17
Y 0.0000 0.3564 0.2624 x4  2 Pd 2.95, 2 Te 3.14
Tm 0.0000 0.3169 0.6219 x4  2 Pd 2.82
Te 0.0000 0.0000 0.6631 x2  7 Y 3.11-3.24
Te 0.0000 0.5000 0.7607 x2  2 Tm 3.17, 6 Y 3.17-3.19
Pd 0.0000 0.2370 0.9312 x4  2 Tm 2.82, 4 Y 2.91-2.95

Properties
The crystal system is orthorhombic. Its total DFT energy (no corrections) is -6.13 eV/atom.

***

Number 2 is which compound? LiLuTeOs